The following is a GGA+U calculation of a relaxed structure of FeSbP4O14, from Alexandria.

Computed properties:
For the total energy, the calculation gives -6.985 eV/atom.

Cell: 8.0012 8.0141 16.1447 Å, 90.00 90.00 90.00°
Each line ends with the local moment (μB).
Sites, in units of the cell vectors:
O 0.9731 0.6461 0.0027  0.07
O 0.4427 0.6010 0.6533  0.01
O 0.1376 0.1921 0.4754  0.00
O 0.7465 0.0925 0.1689  0.01
O 0.9804 0.3770 0.5737  0.01
O 0.7886 0.4806 0.1495  0.09
O 0.7114 0.9806 0.6495  0.09
O 0.8993 0.8215 0.1461  0.06
O 0.8853 0.8865 0.9039  0.08
O 0.3624 0.6921 0.9754  0.00
O 0.9889 0.0711 0.5959  0.01
O 0.9855 0.8203 0.6835  0.01
O 0.5682 0.5923 0.2522  0.09
O 0.0269 0.1461 0.9973  0.07
O 0.2535 0.5925 0.8311  0.01
O 0.4804 0.3770 0.9263  0.01
O 0.5573 0.1010 0.3467  0.01
O 0.7535 0.5925 0.6689  0.01
O 0.1147 0.3865 0.0961  0.08
O 0.7623 0.2345 0.8845  0.05
O 0.9296 0.9826 0.2797  0.00
O 0.0682 0.5923 0.2478  0.09
O 0.2623 0.2345 0.6155  0.05
O 0.5196 0.8770 0.0737  0.01
O 0.1943 0.6442 0.5651  0.01
O 0.5111 0.5711 0.0959  0.01
O 0.4889 0.0711 0.9041  0.01
O 0.6376 0.1921 0.0246  0.00
O 0.9427 0.6010 0.8467  0.01
O 0.5269 0.1461 0.5027  0.07
O 0.0111 0.5711 0.4041  0.01
O 0.6943 0.6442 0.9349  0.01
O 0.3057 0.1442 0.0651  0.01
O 0.0573 0.1010 0.1533  0.01
O 0.0704 0.4826 0.7203  0.00
O 0.2114 0.9806 0.8505  0.09
O 0.4855 0.8203 0.8165  0.01
O 0.2886 0.4806 0.3505  0.09
O 0.7377 0.7345 0.3845  0.05
O 0.3853 0.8865 0.5961  0.08
O 0.9318 0.0923 0.7522  0.09
O 0.4318 0.0923 0.7478  0.09
O 0.3993 0.8215 0.3539  0.06
O 0.2465 0.0925 0.3311  0.01
O 0.4296 0.9826 0.2203  0.00
O 0.6147 0.3865 0.4039  0.08
O 0.5704 0.4826 0.7797  0.00
O 0.2377 0.7345 0.1155  0.05
O 0.0145 0.3203 0.3165  0.01
O 0.5145 0.3203 0.1835  0.01
O 0.8057 0.1442 0.4349  0.01
O 0.1007 0.3215 0.8539  0.06
O 0.0196 0.8770 0.4263  0.01
O 0.8624 0.6921 0.5246  0.00
O 0.4731 0.6461 0.4973  0.07
O 0.6007 0.3215 0.6461  0.06
P 0.9057 0.9909 0.1846  0.01
P 0.8797 0.7044 0.9274  0.01
P 0.8989 0.7241 0.4314  0.01
P 0.1011 0.2241 0.5686  0.01
P 0.6011 0.2241 0.9314  0.01
P 0.1203 0.2044 0.0726  0.01
P 0.6075 0.4932 0.1753  0.01
P 0.0943 0.4909 0.8154  0.01
P 0.3797 0.7044 0.5726  0.01
P 0.6203 0.2044 0.4274  0.01
P 0.8925 0.9932 0.6753  0.01
P 0.5943 0.4909 0.6846  0.01
P 0.1075 0.4932 0.3247  0.01
P 0.3989 0.7241 0.0686  0.01
P 0.4057 0.9909 0.3154  0.01
P 0.3925 0.9932 0.8247  0.01
Fe 0.0101 0.6023 0.1258  4.44
Fe 0.9899 0.1023 0.8742  4.44
Fe 0.4899 0.1023 0.6258  4.44
Fe 0.5101 0.6023 0.3742  4.44
Sb 0.9813 0.6051 0.6230  0.00
Sb 0.0187 0.1051 0.3770  0.00
Sb 0.5187 0.1051 0.1230  0.00
Sb 0.4813 0.6051 0.8770  0.00